[1]
{"formula": "AlCuRe", "functional": "PBE", "state": "optimized geometry", "lattice": [[-3.899, -1.058, 0.349], [-1.747, -2.278, -2.864], [-0.992, -3.850, 0.797]], "species": ["Cu", "Re", "Al"], "frac_coords": [[0.750, 0.750, 0.750], [0.000, 0.000, 0.000], [0.500, 0.500, 0.500]], "crystal_system": "cubic", "dos_ef_per_ev_cell": 3.66, "e_form_ev_per_atom": 0.63, "rho_g_cm3": 9.7}

=====

[2]
{"formula": "Hf3PdI", "functional": "PBE", "state": "optimized geometry", "lattice": [[-2.479, -4.174, -1.542], [-0.853, -1.287, 4.854], [-4.368, 2.620, -0.073]], "species": ["Pd", "Hf", "Hf", "I", "Hf"], "frac_coords": [[0.000, 0.000, 0.000], [0.000, 0.500, 0.000], [0.500, 0.000, 0.000], [0.500, 0.500, 0.500], [0.000, 0.000, 0.500]], "crystal_system": "cubic", "raw_formation_energy_mev_per_atom": 504.5, "dos_ef_per_ev_cell": 8.27, "rho_g_cm3": 9.7}

=====

[3]
{"formula": "NdMgSi4", "functional": "PBE", "state": "optimized geometry", "lattice": [[-1.531, -3.358, 3.866], [-4.018, -3.417, -0.864], [0.993, -5.231, -0.457]], "species": ["Si", "Si", "Si", "Nd", "Si", "Mg"], "frac_coords": [[0.115, 0.628, 0.628], [0.628, 0.628, 0.115], [0.628, 0.628, 0.628], [0.250, 0.250, 0.250], [0.628, 0.115, 0.628], [0.000, 0.000, 0.000]], "crystal_system": "cubic", "raw_formation_energy_mev_per_atom": -158.1, "dos_ef_per_ev_cell": 3.53, "rho_g_cm3": 4.3}

=====

[4]
{"formula": "BaY4Mg", "functional": "PBE", "state": "optimized geometry", "lattice": [[-5.625, 1.631, 3.390], [-1.429, 6.494, 1.260], [-5.132, 3.021, -3.214]], "species": ["Y", "Y", "Mg", "Ba", "Y", "Y"], "frac_coords": [[0.373, 0.373, 0.373], [0.373, 0.373, 0.880], [0.000, 0.000, 0.000], [0.750, 0.750, 0.750], [0.880, 0.373, 0.373], [0.373, 0.880, 0.373]], "crystal_system": "cubic", "dos_ef_per_ev_cell": 8.90, "e_form_ev_per_atom": 0.31, "rho_g_cm3": 3.9}

=====

[5]
{"formula": "CsSc2Mo", "functional": "PBE", "state": "optimized geometry", "lattice": [[-3.990, -0.114, 3.227], [-4.477, -1.995, -1.524], [-1.608, -4.473, 1.937]], "species": ["Sc", "Sc", "Cs", "Mo"], "frac_coords": [[0.250, 0.250, 0.250], [0.750, 0.750, 0.750], [0.500, 0.500, 0.500], [0.000, 0.000, 0.000]], "crystal_system": "cubic", "dos_ef_per_ev_cell": 6.95, "e_form_ev_per_atom": 1.11, "rho_g_cm3": 5.5}

=====

[6]
{"formula": "CeCd7Ag5", "functional": "PBE", "state": "optimized geometry", "lattice": [[5.200, 0.000, 2.136], [2.617, 7.030, 1.026], [-0.071, -0.023, 7.571]], "species": ["Cd", "Ag", "Cd", "Ag", "Ag", "Ag", "Cd", "Cd", "Cd", "Ce", "Cd", "Ag", "Cd"], "frac_coords": [[0.283, 0.217, 0.217], [0.999, 0.502, 0.000], [0.501, 0.204, 0.794], [0.498, 0.000, 0.502], [0.999, 0.000, 0.502], [0.498, 0.502, 0.000], [0.501, 0.794, 0.204], [0.996, 0.658, 0.350], [0.996, 0.350, 0.658], [0.006, 0.994, 0.994], [0.657, 0.343, 0.343], [0.716, 0.784, 0.784], [0.349, 0.651, 0.651]], "crystal_system": "orthorhombic", "dos_ef_per_ev_cell": 14.45, "e_form_ev_per_atom": -0.10, "rho_g_cm3": 8.8}